Entry A
A plane-wave DFT calculation with PBE was carried out for a relaxed structure of FeHgCl2.

Results
Crystal system = orthorhombic
Space group = Imm2, No. 44

Cell: 5.905 5.905 5.905 Å, 147.29 112.27 77.27°
Last column: magnetic moment on the atom in μB.
Fractional coordinates of all 4 atoms:
Fe  0.507  0.507  0.000  3.23
Cl  0.680  0.180  0.500  0.12
Cl  0.040  0.040  0.000  0.03
Hg  0.273  0.773  0.500  -0.01

=====

Entry B
A plane-wave DFT calculation with PBE was carried out for a relaxed structure of FeHgCl2.

Results
Crystal system = orthorhombic
Space group = Immm, No. 71

Cell: 6.523 6.523 6.523 Å, 150.48 117.93 70.21°
Last column: magnetic moment on the atom in μB.
Fractional coordinates of all 4 atoms:
Cl  0.594  0.594  0.000  0.14
Cl  0.906  0.906  0.000  0.14
Fe  0.750  0.250  0.500  3.48
Hg  0.250  0.750  0.500  0.02

=====

Entry C
A plane-wave DFT calculation with PBE was carried out for a relaxed structure of FeHgCl2.

Results
Crystal system = monoclinic
Space group = P2/m, No. 10

Cell: 3.319 3.550 9.809 Å, 84.36 90.00 90.00°
Last column: magnetic moment on the atom in μB.
Fractional coordinates of all 4 atoms:
Cl  0.000  0.154  0.088  0.13
Cl  0.000  0.346  0.412  0.13
Hg  0.500  0.750  0.750  0.01
Fe  0.500  0.250  0.250  3.44

=====

Entry D
A plane-wave DFT calculation with PBE was carried out for a relaxed structure of FeHgCl2.

Results
Crystal system = tetragonal
Space group = P4/mmm, No. 123

Cell: 3.111 3.111 9.697 Å, 90.00 90.00 90.00°
Last column: magnetic moment on the atom in μB.
Fractional coordinates of all 4 atoms:
Fe  0.500  0.500  0.250  3.43
Cl  0.000  0.000  0.405  0.16
Cl  0.000  0.000  0.095  0.16
Hg  0.500  0.500  0.750  0.00

=====

Which is most stable, and by how much? entry C, by 12 meV per atom.